# 1
Computed, not measured: a relaxed structure of ThTc3Ge3 at the PBE level of DFT.

abc: 6.4627 6.4627 8.3839
angles: 67.33 67.33 60.00
Sites, in units of the cell vectors:
Tc1 0.2184 0.9357 0.4083
Tc2 0.9357 0.4376 0.4083
Tc3 0.4376 0.2184 0.4083
Tc4 0.5624 0.7816 0.5917
Tc5 0.7816 0.0643 0.5917
Tc6 0.0643 0.5624 0.5917
Ge1 0.2013 0.6970 0.2376
Ge2 0.7987 0.3030 0.7624
Ge3 0.3030 0.1359 0.7624
Ge4 0.8641 0.2013 0.2376
Ge5 0.6970 0.8641 0.2376
Ge6 0.1359 0.7987 0.7624
Th1 0.3182 0.3182 0.0455
Th2 0.6818 0.6818 0.9545

Properties
Crystal system   trigonal
SG   R-3, No. 148
Total energy   -106.03 eV for the cell shown

***

# 2
Computed, not measured: a relaxed structure of IrSeBr2 at the PBE level of DFT.

abc: 12.3674 12.3674 12.3674
angles: 13.84 13.84 13.84
Sites, in units of the cell vectors:
Br1 0.0648 0.0648 0.0648
Br2 0.9352 0.9352 0.9352
Ir1 0.0000 0.0000 0.0000
Se1 0.5000 0.5000 0.5000

Properties
Formation energy from raw total energies   0.52 eV/atom
Crystal system   trigonal
SG   R-3m, No. 166

***

# 3
Computed, not measured: a relaxed structure of AcZnAu3 at the PBE level of DFT.

abc: 5.7314 6.7931 6.7928
angles: 120.00 90.00 90.00
Sites, in units of the cell vectors:
Au1 0.7500 0.6168 0.8084
Au2 0.2500 0.8084 0.1915
Au3 0.2500 0.3832 0.1916
Au4 0.2500 0.8084 0.6168
Au5 0.7500 0.1916 0.3832
Au6 0.7500 0.1916 0.8085
Zn1 0.5000 0.0000 0.0000
Zn2 0.0000 0.0000 0.0000
Ac1 0.7500 0.6667 0.3334
Ac2 0.2500 0.3333 0.6666

Properties
Crystal system   hexagonal
SG   P6_3/mmc, No. 194
Total energy   -36.40 eV for the cell shown

***

# 4
Computed, not measured: a relaxed structure of Tb3Dy5Se8 at the PBE level of DFT.

abc: 8.1690 8.1690 8.1644
angles: 59.98 59.98 60.00
Sites, in units of the cell vectors:
Dy1 0.5000 0.5000 0.5000
Dy2 0.0000 0.0000 0.0000
Dy3 0.5000 0.5000 0.0000
Dy4 0.5000 0.0000 0.0000
Dy5 0.0000 0.5000 0.0000
Se1 0.7486 0.2500 0.7514
Se2 0.2514 0.7500 0.2486
Se3 0.2500 0.7486 0.7514
Se4 0.2500 0.2500 0.7514
Se5 0.7493 0.7493 0.7521
Se6 0.7500 0.2514 0.2486
Se7 0.2507 0.2507 0.2479
Se8 0.7500 0.7500 0.2486
Tb1 0.5000 0.0000 0.5000
Tb2 0.0000 0.5000 0.5000
Tb3 0.0000 0.0000 0.5000

Properties
Formation energy from raw total energies   -1.75 eV/atom
Crystal system   trigonal
SG   R-3m, No. 166

***

# 5
Computed, not measured: a relaxed structure of Si2TcP at the PBE level of DFT.

abc: 2.9112 2.9112 7.4285
angles: 90.00 90.00 114.38
Sites, in units of the cell vectors:
Si1 0.0000 0.0000 0.9975
Si2 0.0000 0.0000 0.5025
Tc1 0.5000 0.5000 0.2500
P1 0.5000 0.5000 0.7500

Properties
Formation energy from raw total energies   0.27 eV/atom
Crystal system   orthorhombic
SG   Cmmm, No. 65

***

# 6
Computed, not measured: a relaxed structure of La2SiNi at the PBE level of DFT.

abc: 4.9622 4.9622 4.9622
angles: 60.00 60.00 60.00
Sites, in units of the cell vectors:
Ni1 0.5000 0.5000 0.5000
Si1 0.2500 0.2500 0.2500
La1 0.0000 0.0000 0.0000
La2 0.7500 0.7500 0.7500

Properties
Formation energy from raw total energies   0.00 eV/atom
Crystal system   cubic
SG   F-43m, No. 216

***

# 7
Computed, not measured: a relaxed structure of InO at the PBE level of DFT.

abc: 3.2973 3.2972 7.0530
angles: 76.46 76.50 59.99
Sites, in units of the cell vectors:
O1 0.3420 0.8257 0.4374
O2 0.1176 0.6026 0.1086
In1 0.2346 0.7102 0.7730
In2 0.7298 0.2141 0.2730

Properties
Formation energy from raw total energies   -1.22 eV/atom
Crystal system   monoclinic
SG   C2, No. 5

***

# 8
Computed, not measured: a relaxed structure of ZnPb2Se2 at the PBE level of DFT.

abc: 8.0798 8.0798 4.1390
angles: 90.00 90.00 90.00
Sites, in units of the cell vectors:
Zn1 0.0000 0.0000 0.0000
Zn2 0.5000 0.5000 0.0000
Se1 0.6580 0.1580 0.0000
Se2 0.8420 0.6580 0.0000
Se3 0.3420 0.8420 0.0000
Se4 0.1580 0.3420 0.0000
Pb1 0.1578 0.6578 0.5000
Pb2 0.6578 0.8422 0.5000
Pb3 0.3422 0.1578 0.5000
Pb4 0.8422 0.3422 0.5000

Properties
Formation energy from raw total energies   -0.16 eV/atom
Crystal system   tetragonal
SG   P4/mbm, No. 127

***

# 9
Computed, not measured: a relaxed structure of AgAuCl at the PBE level of DFT.

abc: 3.3499 3.3499 6.1146
angles: 90.00 90.00 120.00
Sites, in units of the cell vectors:
Ag1 0.0000 0.0000 0.9938
Cl1 0.3333 0.6667 0.6804
Au1 0.6667 0.3333 0.3258

Properties
Formation energy from raw total energies   -0.01 eV/atom
Crystal system   trigonal
SG   P3m1, No. 156

***

# 10
Computed, not measured: a relaxed structure of Sr2AcNpAs4 at the PBE level of DFT.

abc: 4.4080 7.6268 7.6344
angles: 109.38 90.00 90.00
Sites, in units of the cell vectors:
Sr1 0.0000 0.5000 0.5000
Sr2 0.5000 0.0000 0.5000
As1 0.5000 0.7293 0.7719
As2 0.0000 0.7189 0.2186
As3 0.0000 0.2811 0.7814
As4 0.5000 0.2707 0.2281
Np1 0.5000 0.5000 0.0000
Ac1 0.0000 0.0000 0.0000

Properties
Crystal system   monoclinic
SG   P2/m, No. 10
Total energy   -47.37 eV for the cell shown

***

# 11
Computed, not measured: a relaxed structure of CeTmZr2N4 at the PBE level of DFT.

abc: 4.7653 4.7653 5.8404
angles: 114.07 114.07 90.00
Sites, in units of the cell vectors:
Tm1 0.5000 0.5000 0.0000
N1 0.4943 0.9943 0.9886
N2 0.0057 0.5057 0.0114
N3 0.2475 0.2475 0.4951
N4 0.7525 0.7525 0.5049
Ce1 0.7500 0.2500 0.5000
Zr1 0.2500 0.7500 0.5000
Zr2 0.0000 0.0000 0.0000

Properties
Formation energy from raw total energies   -1.66 eV/atom
Crystal system   tetragonal
SG   I-4m2, No. 119

***

# 12
Computed, not measured: a relaxed structure of HOs2 at the PBE level of DFT.

abc: 2.7677 2.8244 8.5532
angles: 90.00 95.88 90.00
Sites, in units of the cell vectors:
Os1 0.7111 0.5000 0.1513
Os2 0.7111 0.0000 0.6513
Os3 0.2889 0.5000 0.8487
Os4 0.2889 0.0000 0.3487
H1 0.5000 0.0000 0.0000
H2 0.5000 0.5000 0.5000

Properties
Crystal system   monoclinic
SG   C2/m, No. 12
Total energy   -49.90 eV for the cell shown

***

# 13
Computed, not measured: a relaxed structure of PuMgFeNi at the PBE level of DFT.

abc: 4.5606 4.5606 4.5606
angles: 60.00 60.00 60.00
Sites, in units of the cell vectors:
Pu1 0.0000 0.0000 0.0000
Fe1 0.7500 0.7500 0.7500
Ni1 0.2500 0.2500 0.2500
Mg1 0.5000 0.5000 0.5000

Properties
Crystal system   cubic
SG   F-43m, No. 216
Total energy   -29.99 eV for the cell shown

***

# 14
Computed, not measured: a relaxed structure of NdSmIrI at the PBE level of DFT.

abc: 4.2002 4.2003 8.4663
angles: 90.00 104.37 120.00
Sites, in units of the cell vectors:
Nd1 0.5155 0.1556 0.6865
I1 0.9656 0.3810 0.3612
Sm1 0.0915 0.9437 0.0505
Ir1 0.3054 0.5506 0.8714

Properties
Formation energy from raw total energies   -0.95 eV/atom
Crystal system   trigonal
SG   R3m, No. 160

***

# 15
Computed, not measured: a relaxed structure of Tl2SnSbSe5 at the PBE level of DFT.

abc: 4.0244 10.0261 13.6337
angles: 90.00 90.00 101.58
Sites, in units of the cell vectors:
Se1 0.7107 0.4214 0.1711
Se2 0.3444 0.6888 0.0011
Se3 0.4832 0.9664 0.7724
Se4 0.6803 0.3606 0.8709
Se5 0.9628 0.9256 0.5464
Se6 0.5168 0.0336 0.2724
Se7 0.3197 0.6394 0.3709
Se8 0.2893 0.5786 0.6711
Se9 0.6556 0.3112 0.5011
Se10 0.0372 0.0744 0.0464
Tl1 0.1202 0.2405 0.6783
Tl2 0.1341 0.2682 0.3268
Tl3 0.8659 0.7318 0.8268
Tl4 0.8798 0.7595 0.1783
Sn1 0.4453 0.8907 0.4255
Sn2 0.5547 0.1093 0.9255
Sb1 0.7873 0.5747 0.5316
Sb2 0.2127 0.4253 0.0316

Properties
Formation energy from raw total energies   -0.31 eV/atom
Crystal system   orthorhombic
SG   Cmc2_1, No. 36

***

# 16
Computed, not measured: a relaxed structure of PrGa4AgAu2 at the PBE level of DFT.

abc: 4.4546 4.4546 9.4925
angles: 76.43 76.43 60.00
Sites, in units of the cell vectors:
Ag1 0.5000 0.5000 0.5000
Au1 0.2437 0.2437 0.2690
Au2 0.7563 0.7563 0.7310
Pr1 0.0000 0.0000 0.0000
Ga1 0.1239 0.1239 0.6282
Ga2 0.6049 0.6049 0.1853
Ga3 0.8761 0.8761 0.3718
Ga4 0.3951 0.3951 0.8147

Properties
Crystal system   trigonal
SG   R-3m, No. 166
Total energy   -28.99 eV for the cell shown

***

# 17
Computed, not measured: a relaxed structure of KHgB2Br8 at the PBE level of DFT.

abc: 6.7081 6.7081 10.6014
angles: 71.56 71.56 60.00
Sites, in units of the cell vectors:
Br1 0.5312 0.3084 0.1988
Br2 0.8239 0.8239 0.5282
Br3 0.1761 0.1761 0.4718
Br4 0.9617 0.5312 0.1988
Br5 0.3084 0.9617 0.1988
Br6 0.0383 0.4688 0.8012
Br7 0.6916 0.0383 0.8012
Br8 0.4688 0.6916 0.8012
B1 0.2443 0.2443 0.2670
B2 0.7557 0.7557 0.7330
Hg1 0.0000 0.0000 0.0000
K1 0.5000 0.5000 0.5000

Properties
Formation energy from raw total energies   -0.61 eV/atom
Crystal system   trigonal
SG   R-3, No. 148

***

# 18
Computed, not measured: a relaxed structure of LaSc2 at the PBE level of DFT.

abc: 6.4048 6.4048 6.4048
angles: 60.00 60.00 60.00
Sites, in units of the cell vectors:
Sc1 0.6250 0.6250 0.1250
Sc2 0.6250 0.6250 0.6250
Sc3 0.6250 0.1250 0.6250
Sc4 0.1250 0.6250 0.6250
La1 0.2500 0.2500 0.2500
La2 0.0000 0.0000 0.0000

Properties
Crystal system   cubic
SG   Fd-3m, No. 227
Total energy   -33.79 eV for the cell shown

***

# 19
Computed, not measured: a relaxed structure of GePdBr2 at the PBE level of DFT.

abc: 4.9379 4.9379 4.9379
angles: 60.00 60.00 60.00
Sites, in units of the cell vectors:
Br1 0.7500 0.7500 0.7500
Br2 0.2500 0.2500 0.2500
Pd1 0.5000 0.5000 0.5000
Ge1 0.0000 0.0000 0.0000

Properties
Formation energy from raw total energies   0.11 eV/atom
Crystal system   cubic
SG   Fm-3m, No. 225

***

# 20
Computed, not measured: a relaxed structure of Mg3Ta at the PBE level of DFT.

abc: 5.6853 5.6853 5.6853
angles: 90.00 90.00 90.00
Sites, in units of the cell vectors:
Ta1 0.0000 0.0000 0.0000
Mg1 0.5000 0.0000 0.0000
Mg2 0.0000 0.5000 0.0000
Mg3 0.0000 0.0000 0.5000

Properties
Crystal system   cubic
SG   Pm-3m, No. 221
Total energy   -10.30 eV for the cell shown

***

For each record above, in turn, the calculated theoretical density values are 9.1; 7.6; 12.8; 8.3; 5.4; 7.0; 6.8; 7.8; 9.5; 6.4; 8.4; 19.0; 9.5; 8.2; 6.4; 9.7; 3.9; 4.1; 6.6; 2.3 g cm⁻³.